! GGA-PBE CeTmFe4, relaxed; values from VASP
&SYSTEM
  ibrav = 0, nat = 6, ntyp = 3
/
ATOMIC_SPECIES
Tm 168.93 Tm.upf
Fe 55.84 Fe.upf
Ce 140.12 Ce.upf
CELL_PARAMETERS angstrom
-2.635 4.269 1.011
-3.024 0.225 4.123
1.314 2.936 3.980
ATOMIC_POSITIONS crystal
Tm 0.000 0.000 0.000
Fe 0.625 0.625 0.625
Fe 0.625 0.125 0.625
Fe 0.125 0.625 0.625
Ce 0.250 0.250 0.250
Fe 0.625 0.625 0.125
! Formation energy from the elements, eV/f.u.: -0.60
! Symmetry: F-43m (216)


! GGA-PBE Mg2MnBr, relaxed; values from VASP
&SYSTEM
  ibrav = 0, nat = 4, ntyp = 3
/
ATOMIC_SPECIES
Mg 24.30 Mg.upf
Br 79.90 Br.upf
Mn 54.94 Mn.upf
CELL_PARAMETERS angstrom
-2.210 0.173 2.487
-0.068 -3.327 0.172
5.636 0.143 4.998
ATOMIC_POSITIONS crystal
Mg 0.000 0.000 0.467
Br 0.500 0.500 0.750
Mn 0.500 0.500 0.250
Mg 0.000 0.000 0.033
! Raw formation energy, kJ/mol of atoms: -8
! Symmetry: P4/mmm (123)
! Relative energy among the computed polymorphs, eV/atom: 0.042


! GGA-PBE La5SbSe4, relaxed; values from VASP
&SYSTEM
  ibrav = 0, nat = 10, ntyp = 3
/
ATOMIC_SPECIES
La 138.91 La.upf
Se 78.96 Se.upf
Sb 121.76 Sb.upf
CELL_PARAMETERS angstrom
4.303 0.000 -0.830
-0.320 5.968 -1.657
0.003 -0.007 11.582
ATOMIC_POSITIONS crystal
La 0.395 0.895 0.789
Se 0.797 0.797 0.594
La 0.199 0.699 0.399
Se 0.399 0.399 0.799
Sb 0.000 0.000 0.000
La 0.000 0.500 0.000
La 0.801 0.301 0.601
Se 0.203 0.203 0.406
Se 0.601 0.601 0.201
La 0.605 0.105 0.211
! Raw formation energy, kJ/mol of atoms: -178
! Symmetry: Immm (71)


! GGA-PBE CrCu2Br2, relaxed; values from VASP
&SYSTEM
  ibrav = 0, nat = 10, ntyp = 3
/
ATOMIC_SPECIES
Cu 63.55 Cu.upf
Br 79.90 Br.upf
Cr 52.00 Cr.upf
CELL_PARAMETERS angstrom
7.087 0.000 0.000
0.000 7.087 0.000
0.000 0.000 3.825
ATOMIC_POSITIONS crystal
Cu 0.378 0.878 0.000
Br 0.297 0.203 0.500
Cr 0.500 0.500 0.000
Br 0.703 0.797 0.500
Cu 0.122 0.378 0.000
Cu 0.878 0.622 0.000
Cu 0.622 0.122 0.000
Br 0.797 0.297 0.500
Br 0.203 0.703 0.500
Cr 0.000 0.000 0.000
! Raw formation energy, kJ/mol of atoms: 42
! Symmetry: P4/mbm (127)
! Relative energy among the computed polymorphs, eV/atom: 0.000


! GGA-PBE CaTc2Te, relaxed; values from VASP
&SYSTEM
  ibrav = 0, nat = 4, ntyp = 3
/
ATOMIC_SPECIES
Tc 98.00 Tc.upf
Te 127.60 Te.upf
Ca 40.08 Ca.upf
CELL_PARAMETERS angstrom
-2.518 -2.773 1.098
1.428 0.242 3.887
-3.199 3.290 0.971
ATOMIC_POSITIONS crystal
Tc 0.500 0.500 0.000
Te 0.500 0.000 0.500
Ca 0.000 0.500 0.500
Tc 0.000 0.000 0.000
! Raw formation energy, kJ/mol of atoms: 43
! Symmetry: Pmmm (47)


! GGA-PBE K2MnCrSe4, relaxed; values from VASP
&SYSTEM
  ibrav = 0, nat = 16, ntyp = 4
/
ATOMIC_SPECIES
Se 78.96 Se.upf
K 39.10 K.upf
Mn 54.94 Mn.upf
Cr 52.00 Cr.upf
CELL_PARAMETERS angstrom
-0.843 -8.141 -0.262
3.913 -0.549 7.173
-6.542 4.718 -0.632
ATOMIC_POSITIONS crystal
Se 0.775 0.725 0.542
K 0.500 0.000 0.000
Se 0.775 0.725 0.958
Se 0.187 0.720 0.954
K 0.500 0.000 0.500
Mn 0.000 0.000 0.000
Se 0.225 0.275 0.042
K 0.000 0.000 0.500
Se 0.813 0.280 0.046
Se 0.220 0.687 0.454
Cr 0.000 0.500 0.000
Cr 0.000 0.500 0.500
K 0.500 0.500 0.000
Se 0.780 0.313 0.546
Mn 0.500 0.500 0.500
Se 0.225 0.275 0.458
! Raw formation energy, kJ/mol of atoms: -68
! Symmetry: Imma (74)


What did the third record say?
! GGA-PBE La5SbSe4, relaxed; values from VASP
&SYSTEM
  ibrav = 0, nat = 10, ntyp = 3
/
ATOMIC_SPECIES
La 138.91 La.upf
Se 78.96 Se.upf
Sb 121.76 Sb.upf
CELL_PARAMETERS angstrom
4.303 0.000 -0.830
-0.320 5.968 -1.657
0.003 -0.007 11.582
ATOMIC_POSITIONS crystal
La 0.395 0.895 0.789
Se 0.797 0.797 0.594
La 0.199 0.699 0.399
Se 0.399 0.399 0.799
Sb 0.000 0.000 0.000
La 0.000 0.500 0.000
La 0.801 0.301 0.601
Se 0.203 0.203 0.406
Se 0.601 0.601 0.201
La 0.605 0.105 0.211
! Raw formation energy, kJ/mol of atoms: -178
! Symmetry: Immm (71)